# 1
# Mg2NiOs

A relaxed Mg2NiOs crystal (GGA-PBE, Alexandria via LeMat-Bulk).

Structure (CIF):
```
data_Mg2NiOs
_cell_length_a 4.391
_cell_length_b 4.391
_cell_length_c 4.391
_cell_angle_alpha 60.00
_cell_angle_beta 60.00
_cell_angle_gamma 60.00
_space_group_name_H-M_alt 'P 1'
_space_group_IT_number 1
loop_
_space_group_symop_operation_xyz
'x,y,z'
loop_
_atom_site_label
_atom_site_type_symbol
_atom_site_fract_x
_atom_site_fract_y
_atom_site_fract_z
Mg1 Mg 0.000 0.000 0.000
Mg2 Mg 0.250 0.250 0.250
Ni1 Ni 0.500 0.500 0.500
Os1 Os 0.750 0.750 0.750
```

Results
energy relative to the elements	250	meV per atom


# 2
# Ba2ReHg

A relaxed Ba2ReHg crystal (GGA-PBE, Alexandria via LeMat-Bulk).

Structure (CIF):
```
data_Ba2ReHg
_cell_length_a 5.469
_cell_length_b 5.469
_cell_length_c 5.469
_cell_angle_alpha 60.00
_cell_angle_beta 60.00
_cell_angle_gamma 60.00
_space_group_name_H-M_alt 'P 1'
_space_group_IT_number 1
loop_
_space_group_symop_operation_xyz
'x,y,z'
loop_
_atom_site_label
_atom_site_type_symbol
_atom_site_fract_x
_atom_site_fract_y
_atom_site_fract_z
Ba1 Ba 0.000 0.000 0.000
Ba2 Ba 0.250 0.250 0.250
Re1 Re 0.750 0.750 0.750
Hg1 Hg 0.500 0.500 0.500
```

Results
energy relative to the elements	887	meV per atom


# 3
# Y2Al2Si

A relaxed Y2Al2Si crystal (GGA-PBE, Alexandria via LeMat-Bulk).

Structure (CIF):
```
data_Y2Al2Si
_cell_length_a 6.905
_cell_length_b 6.905
_cell_length_c 4.575
_cell_angle_alpha 90.00
_cell_angle_beta 90.00
_cell_angle_gamma 90.00
_space_group_name_H-M_alt 'P 1'
_space_group_IT_number 1
loop_
_space_group_symop_operation_xyz
'x,y,z'
loop_
_atom_site_label
_atom_site_type_symbol
_atom_site_fract_x
_atom_site_fract_y
_atom_site_fract_z
Y1 Y 0.171 0.329 0.000
Y2 Y 0.329 0.829 0.000
Y3 Y 0.671 0.171 0.000
Y4 Y 0.829 0.671 0.000
Al1 Al 0.133 0.633 0.500
Al2 Al 0.367 0.133 0.500
Al3 Al 0.633 0.867 0.500
Al4 Al 0.867 0.367 0.500
Si1 Si 0.000 0.000 0.500
Si2 Si 0.500 0.500 0.500
```

Results
energy relative to the elements, uncorrected	-0.43	eV per atom


# 4
# CoCuHg2

A relaxed CoCuHg2 crystal (GGA-PBE, Alexandria via LeMat-Bulk).

Structure (CIF):
```
data_CoCuHg2
_cell_length_a 3.023
_cell_length_b 3.023
_cell_length_c 7.464
_cell_angle_alpha 90.00
_cell_angle_beta 90.00
_cell_angle_gamma 90.00
_space_group_name_H-M_alt 'P 1'
_space_group_IT_number 1
loop_
_space_group_symop_operation_xyz
'x,y,z'
loop_
_atom_site_label
_atom_site_type_symbol
_atom_site_fract_x
_atom_site_fract_y
_atom_site_fract_z
Co1 Co 0.000 0.000 0.000
Cu1 Cu 0.500 0.500 0.174
Hg1 Hg 0.000 0.000 0.419
Hg2 Hg 0.500 0.500 0.760
```

Results
energy relative to the elements	344	meV per atom


# 5
# TbZrPd2

A relaxed TbZrPd2 crystal (GGA-PBE, Alexandria via LeMat-Bulk).

Structure (CIF):
```
data_TbZrPd2
_cell_length_a 6.914
_cell_length_b 6.914
_cell_length_c 6.914
_cell_angle_alpha 33.60
_cell_angle_beta 33.60
_cell_angle_gamma 33.60
_space_group_name_H-M_alt 'P 1'
_space_group_IT_number 1
loop_
_space_group_symop_operation_xyz
'x,y,z'
loop_
_atom_site_label
_atom_site_type_symbol
_atom_site_fract_x
_atom_site_fract_y
_atom_site_fract_z
Tb1 Tb 0.000 0.000 0.000
Zr1 Zr 0.500 0.500 0.500
Pd1 Pd 0.242 0.242 0.242
Pd2 Pd 0.758 0.758 0.758
```

Results
energy relative to the elements	-534	meV per atom


# 6
# NdThNi2

A relaxed NdThNi2 crystal (GGA-PBE, Alexandria via LeMat-Bulk).

Structure (CIF):
```
data_NdThNi2
_cell_length_a 7.126
_cell_length_b 7.126
_cell_length_c 7.126
_cell_angle_alpha 32.53
_cell_angle_beta 32.53
_cell_angle_gamma 32.53
_space_group_name_H-M_alt 'P 1'
_space_group_IT_number 1
loop_
_space_group_symop_operation_xyz
'x,y,z'
loop_
_atom_site_label
_atom_site_type_symbol
_atom_site_fract_x
_atom_site_fract_y
_atom_site_fract_z
Nd1 Nd 0.000 0.000 0.000
Th1 Th 0.500 0.500 0.500
Ni1 Ni 0.246 0.246 0.246
Ni2 Ni 0.754 0.754 0.754
```

Results
energy relative to the elements	-267	meV per atom


# 7
# SrSmS2

A relaxed SrSmS2 crystal (GGA-PBE, Alexandria via LeMat-Bulk).

Structure (CIF):
```
data_SrSmS2
_cell_length_a 7.533
_cell_length_b 7.533
_cell_length_c 7.533
_cell_angle_alpha 31.06
_cell_angle_beta 31.06
_cell_angle_gamma 31.06
_space_group_name_H-M_alt 'P 1'
_space_group_IT_number 1
loop_
_space_group_symop_operation_xyz
'x,y,z'
loop_
_atom_site_label
_atom_site_type_symbol
_atom_site_fract_x
_atom_site_fract_y
_atom_site_fract_z
Sr1 Sr 0.000 0.000 0.000
Sm1 Sm 0.174 0.174 0.174
S1 S 0.583 0.583 0.583
S2 S 0.761 0.761 0.761
```

Results
energy relative to the elements, uncorrected	-1.96	eV per atom


# 8
# Hf2TiAlI

A relaxed Hf2TiAlI crystal (GGA-PBE, Alexandria via LeMat-Bulk).

Structure (CIF):
```
data_Hf2TiAlI
_cell_length_a 5.143
_cell_length_b 5.143
_cell_length_c 5.173
_cell_angle_alpha 90.00
_cell_angle_beta 90.00
_cell_angle_gamma 90.00
_space_group_name_H-M_alt 'P 1'
_space_group_IT_number 1
loop_
_space_group_symop_operation_xyz
'x,y,z'
loop_
_atom_site_label
_atom_site_type_symbol
_atom_site_fract_x
_atom_site_fract_y
_atom_site_fract_z
Hf1 Hf 0.000 0.500 0.000
Hf2 Hf 0.500 0.000 0.000
Ti1 Ti 0.000 0.000 0.500
Al1 Al 0.500 0.500 0.500
I1 I 0.500 0.500 0.000
```

Results
energy relative to the elements, uncorrected	1.43	eV per atom


# 9
# Sm8InCu2

A relaxed Sm8InCu2 crystal (GGA-PBE, Alexandria via LeMat-Bulk).

Structure (CIF):
```
data_Sm8InCu2
_cell_length_a 9.066
_cell_length_b 9.066
_cell_length_c 7.824
_cell_angle_alpha 113.12
_cell_angle_beta 113.12
_cell_angle_gamma 32.37
_space_group_name_H-M_alt 'P 1'
_space_group_IT_number 1
loop_
_space_group_symop_operation_xyz
'x,y,z'
loop_
_atom_site_label
_atom_site_type_symbol
_atom_site_fract_x
_atom_site_fract_y
_atom_site_fract_z
Sm1 Sm 0.047 0.047 0.260
Sm2 Sm 0.185 0.185 0.789
Sm3 Sm 0.317 0.317 0.519
Sm4 Sm 0.405 0.405 0.030
Sm5 Sm 0.595 0.595 0.970
Sm6 Sm 0.683 0.683 0.481
Sm7 Sm 0.815 0.815 0.211
Sm8 Sm 0.953 0.953 0.740
In1 In 0.500 0.500 0.500
Cu1 Cu 0.189 0.189 0.156
Cu2 Cu 0.811 0.811 0.844
```

Results
energy relative to the elements	-135	meV per atom